No. 1
Material: CrAs2P
Method: DFT, PBEsol
State: optimized geometry

abc: 5.124 5.147 4.946
angles: 90.00 90.00 90.00
Fractional positions:
1 Cr 0.000 0.000 0.000
2 Cr 0.500 0.500 0.000
3 As 0.249 0.000 0.500
4 As 0.251 0.500 0.500
5 As 0.749 0.500 0.500
6 As 0.751 0.000 0.500
7 P 0.000 0.500 0.000
8 P 0.500 0.000 0.000

Output
M_tot, μB per formula unit: 2.924
Raw total energy, eV/atom: -6.33
Fermi-level density of states, states/eV/cell: 4.85
Calculated formation energy, eV per atom: 0.2283


No. 2
Material: Ta2W
Method: DFT, PBEsol
State: optimized geometry

abc: 3.204 4.631 13.626
angles: 90.00 90.00 90.00
Fractional positions:
1 Ta 0.000 0.000 0.163
2 Ta 0.000 0.000 0.837
3 Ta 0.000 0.500 0.337
4 Ta 0.000 0.500 0.663
5 Ta 0.500 0.000 0.337
6 Ta 0.500 0.000 0.663
7 Ta 0.500 0.500 0.163
8 Ta 0.500 0.500 0.837
9 W 0.000 0.000 0.500
10 W 0.000 0.500 0.000
11 W 0.500 0.000 0.000
12 W 0.500 0.500 0.500

Output
M_tot, μB per formula unit: 0.000
Polymorph energy (0 for the lowest one), eV/atom: 0.036
Raw total energy, eV/atom: -13.01
Fermi-level density of states, states/eV/cell: 11.86
Calculated formation energy, eV per atom: -0.0378


No. 3
Material: MnBiSe3
Method: DFT, PBEsol
State: optimized geometry

abc: 4.803 4.803 4.803
angles: 90.00 90.00 90.00
Fractional positions:
1 Mn 0.000 0.000 0.000
2 Bi 0.500 0.500 0.500
3 Se 0.000 0.000 0.500
4 Se 0.000 0.500 0.000
5 Se 0.500 0.000 0.000

Output
M_tot, μB per formula unit: 3.754
Raw total energy, eV/atom: -5.12
Fermi-level density of states, states/eV/cell: 3.78


No. 4
Material: K3BiAs6Se12
Method: DFT, PBEsol
State: optimized geometry

abc: 9.680 9.680 7.582
angles: 90.00 90.00 120.00
Fractional positions:
1 K 0.000 0.000 0.000
2 K 0.333 0.667 0.858
3 K 0.667 0.333 0.142
4 Bi 0.000 0.000 0.500
5 As 0.157 0.453 0.390
6 As 0.297 0.843 0.390
7 As 0.453 0.297 0.610
8 As 0.547 0.703 0.390
9 As 0.703 0.157 0.610
10 As 0.843 0.547 0.610
11 Se 0.069 0.786 0.711
12 Se 0.091 0.629 0.211
13 Se 0.214 0.283 0.711
14 Se 0.283 0.069 0.289
15 Se 0.371 0.462 0.211
16 Se 0.462 0.091 0.789
17 Se 0.538 0.909 0.211
18 Se 0.629 0.538 0.789
19 Se 0.717 0.931 0.711
20 Se 0.786 0.717 0.289
21 Se 0.909 0.371 0.789
22 Se 0.931 0.214 0.289

Output
M_tot, μB per formula unit: 0.000
Raw total energy, eV/atom: -4.25


No. 5
Material: Ba2FeGeO
Method: DFT, PBEsol
State: optimized geometry

abc: 6.197 6.197 3.917
angles: 90.00 90.00 90.00
Fractional positions:
1 Ba 0.000 0.500 0.000
2 Ba 0.500 0.000 0.000
3 Fe 0.000 0.000 0.500
4 Ge 0.500 0.500 0.000
5 O 0.500 0.500 0.500

Output
M_tot, μB per formula unit: 2.139
Raw total energy, eV/atom: -4.39
Fermi-level density of states, states/eV/cell: 7.15


No. 6
Material: Zn2As
Method: DFT, PBEsol
State: optimized geometry

abc: 3.541 3.581 7.813
angles: 90.00 90.00 90.00
Fractional positions:
1 Zn 0.000 0.000 0.162
2 Zn 0.000 0.000 0.838
3 Zn 0.500 0.500 0.338
4 Zn 0.500 0.500 0.662
5 As 0.000 0.000 0.500
6 As 0.500 0.500 0.000

Output
M_tot, μB per formula unit: 0.000
Polymorph energy (0 for the lowest one), eV/atom: 0.000
Raw total energy, eV/atom: -2.59
Fermi-level density of states, states/eV/cell: 2.46
Calculated formation energy, eV per atom: 0.1678


No. 7
Material: Si2RuPt
Method: DFT, PBEsol
State: optimized geometry

abc: 2.951 4.441 4.119
angles: 90.00 90.00 90.00
Fractional positions:
1 Si 0.000 0.000 0.000
2 Si 0.500 0.500 0.215
3 Ru 0.500 0.000 0.476
4 Pt 0.000 0.500 0.734

Output
M_tot, μB per formula unit: 0.000
Raw total energy, eV/atom: -7.70
Fermi-level density of states, states/eV/cell: 2.62


No. 8
Material: Ba2SiRu
Method: DFT, PBEsol
State: optimized geometry

abc: 3.868 4.156 6.671
angles: 90.00 90.10 90.00
Fractional positions:
1 Ba 0.001 0.000 0.254
2 Ba 0.999 0.000 0.746
3 Si 0.500 0.500 0.000
4 Ru 0.500 0.500 0.500

Output
M_tot, μB per formula unit: 0.590
Raw total energy, eV/atom: -4.51
Fermi-level density of states, states/eV/cell: 5.29


No. 9
Material: Co3Mo
Method: DFT, PBEsol
State: optimized geometry

abc: 8.021 8.021 2.494
angles: 90.00 90.00 120.00
Fractional positions:
1 Co 0.000 0.500 0.000
2 Co 0.167 0.333 0.333
3 Co 0.167 0.833 0.333
4 Co 0.333 0.167 0.667
5 Co 0.500 0.000 0.000
6 Co 0.500 0.500 0.000
7 Co 0.667 0.833 0.333
8 Co 0.833 0.167 0.667
9 Co 0.833 0.667 0.667
10 Mo 0.000 0.000 0.000
11 Mo 0.333 0.667 0.667
12 Mo 0.667 0.333 0.333

Output
M_tot, μB per formula unit: 3.274
Raw total energy, eV/atom: -8.50
Fermi-level density of states, states/eV/cell: 20.66
Calculated formation energy, eV per atom: 0.2427


No. 10
Material: LiTeRu2
Method: DFT, PBEsol
State: optimized geometry

abc: 2.933 2.933 7.845
angles: 90.00 90.00 90.00
Fractional positions:
1 Li 0.000 0.000 0.000
2 Te 0.500 0.500 0.687
3 Ru 0.000 0.000 0.425
4 Ru 0.500 0.500 0.237

Output
M_tot, μB per formula unit: 0.001
Raw total energy, eV/atom: -6.17
Fermi-level density of states, states/eV/cell: 4.68


No. 11
Material: TiTlPO5
Method: DFT, PBEsol
State: optimized geometry

abc: 12.921 6.474 10.584
angles: 90.00 90.00 90.00
Fractional positions:
1 Ti 0.129 0.001 0.000
2 Ti 0.244 0.264 0.749
3 Ti 0.256 0.764 0.249
4 Ti 0.371 0.501 0.500
5 Ti 0.629 0.499 0.000
6 Ti 0.744 0.236 0.749
7 Ti 0.756 0.736 0.249
8 Ti 0.871 0.999 0.500
9 Tl 0.104 0.690 0.563
10 Tl 0.120 0.286 0.317
11 Tl 0.380 0.786 0.817
12 Tl 0.396 0.190 0.063
13 Tl 0.604 0.810 0.563
14 Tl 0.620 0.214 0.317
15 Tl 0.880 0.714 0.817
16 Tl 0.896 0.310 0.063
17 P 0.002 0.838 0.254
18 P 0.182 0.506 0.006
19 P 0.318 0.006 0.506
20 P 0.498 0.338 0.754
21 P 0.502 0.662 0.254
22 P 0.682 0.994 0.006
23 P 0.818 0.494 0.506
24 P 0.998 0.162 0.754
25 O 0.011 0.039 0.880
26 O 0.014 0.989 0.143
27 O 0.094 0.303 0.733
28 O 0.101 0.705 0.270
29 O 0.114 0.697 0.980
30 O 0.115 0.315 0.036
31 O 0.222 0.052 0.880
32 O 0.223 0.966 0.135
33 O 0.245 0.044 0.621
34 O 0.248 0.964 0.390
35 O 0.252 0.464 0.890
36 O 0.255 0.544 0.121
37 O 0.277 0.466 0.635
38 O 0.278 0.552 0.380
39 O 0.385 0.815 0.536
40 O 0.386 0.197 0.480
41 O 0.399 0.205 0.770
42 O 0.406 0.803 0.233
43 O 0.486 0.489 0.643
44 O 0.489 0.539 0.380
45 O 0.511 0.461 0.880
46 O 0.514 0.511 0.143
47 O 0.594 0.197 0.733
48 O 0.601 0.795 0.270
49 O 0.614 0.803 0.980
50 O 0.615 0.185 0.036
51 O 0.722 0.448 0.880
52 O 0.723 0.534 0.135
53 O 0.745 0.456 0.621
54 O 0.748 0.536 0.390
55 O 0.752 0.036 0.890
56 O 0.755 0.956 0.121
57 O 0.777 0.034 0.635
58 O 0.778 0.948 0.380
59 O 0.885 0.685 0.536
60 O 0.886 0.303 0.480
61 O 0.899 0.295 0.770
62 O 0.906 0.697 0.233
63 O 0.986 0.011 0.643
64 O 0.989 0.961 0.380

Output
M_tot, μB per formula unit: 0.000
Polymorph energy (0 for the lowest one), eV/atom: 0.000
Raw total energy, eV/atom: -7.73
Fermi-level density of states, states/eV/cell: 0.00


No. 12
Material: In2TeMo
Method: DFT, PBEsol
State: optimized geometry

abc: 3.135 3.135 30.762
angles: 90.00 90.00 120.00
Fractional positions:
1 In 0.000 0.000 0.238
2 In 0.000 0.000 0.762
3 In 0.333 0.667 0.428
4 In 0.333 0.667 0.905
5 In 0.667 0.333 0.095
6 In 0.667 0.333 0.572
7 Te 0.000 0.000 0.000
8 Te 0.333 0.667 0.667
9 Te 0.667 0.333 0.333
10 Mo 0.000 0.000 0.500
11 Mo 0.333 0.667 0.167
12 Mo 0.667 0.333 0.833

Output
M_tot, μB per formula unit: 0.004
Raw total energy, eV/atom: -4.91
Fermi-level density of states, states/eV/cell: 7.99


No. 13
Material: Sc2ReP
Method: DFT, PBEsol
State: optimized geometry

abc: 3.552 4.787 7.812
angles: 90.00 90.00 90.00
Fractional positions:
1 Sc 0.000 0.000 0.238
2 Sc 0.000 0.000 0.762
3 Sc 0.500 0.500 0.238
4 Sc 0.500 0.500 0.762
5 Re 0.000 0.500 0.500
6 Re 0.500 0.000 0.500
7 P 0.000 0.500 0.000
8 P 0.500 0.000 0.000

Output
M_tot, μB per formula unit: 0.000
Raw total energy, eV/atom: -8.51
Fermi-level density of states, states/eV/cell: 3.77
Calculated formation energy, eV per atom: -0.4296


No. 14
Material: MgMnSi2O6
Method: DFT, PBEsol
State: optimized geometry

abc: 5.286 18.396 8.943
angles: 90.00 90.00 90.00
Fractional positions:
1 Mg 0.117 0.125 0.154
2 Mg 0.117 0.375 0.654
3 Mg 0.383 0.625 0.154
4 Mg 0.383 0.875 0.654
5 Mg 0.617 0.125 0.346
6 Mg 0.617 0.375 0.846
7 Mg 0.883 0.625 0.346
8 Mg 0.883 0.875 0.846
9 Mn 0.119 0.124 0.514
10 Mn 0.119 0.376 0.014
11 Mn 0.381 0.624 0.514
12 Mn 0.381 0.876 0.014
13 Mn 0.619 0.124 0.986
14 Mn 0.619 0.376 0.486
15 Mn 0.881 0.624 0.986
16 Mn 0.881 0.876 0.486
17 Si 0.057 0.728 0.660
18 Si 0.057 0.772 0.160
19 Si 0.212 0.025 0.837
20 Si 0.212 0.475 0.337
21 Si 0.288 0.525 0.837
22 Si 0.288 0.975 0.337
23 Si 0.443 0.228 0.660
24 Si 0.443 0.272 0.160
25 Si 0.557 0.728 0.840
26 Si 0.557 0.772 0.340
27 Si 0.712 0.025 0.663
28 Si 0.712 0.475 0.163
29 Si 0.788 0.525 0.663
30 Si 0.788 0.975 0.163
31 Si 0.943 0.228 0.840
32 Si 0.943 0.272 0.340
33 O 0.054 0.684 0.164
34 O 0.054 0.816 0.664
35 O 0.061 0.690 0.498
36 O 0.061 0.810 0.998
37 O 0.077 0.552 0.710
38 O 0.077 0.948 0.210
39 O 0.175 0.197 0.734
40 O 0.175 0.303 0.234
41 O 0.207 0.565 0.991
42 O 0.207 0.935 0.491
43 O 0.211 0.564 0.337
44 O 0.211 0.936 0.837
45 O 0.289 0.064 0.337
46 O 0.289 0.436 0.837
47 O 0.293 0.065 0.991
48 O 0.293 0.435 0.491
49 O 0.325 0.697 0.734
50 O 0.325 0.803 0.234
51 O 0.423 0.052 0.710
52 O 0.423 0.448 0.210
53 O 0.439 0.190 0.498
54 O 0.439 0.310 0.998
55 O 0.446 0.184 0.164
56 O 0.446 0.316 0.664
57 O 0.554 0.684 0.336
58 O 0.554 0.816 0.836
59 O 0.561 0.690 0.002
60 O 0.561 0.810 0.502
61 O 0.577 0.552 0.790
62 O 0.577 0.948 0.290
63 O 0.675 0.197 0.766
64 O 0.675 0.303 0.266
65 O 0.707 0.565 0.509
66 O 0.707 0.935 0.009
67 O 0.711 0.564 0.163
68 O 0.711 0.936 0.663
69 O 0.789 0.064 0.163
70 O 0.789 0.436 0.663
71 O 0.793 0.065 0.509
72 O 0.793 0.435 0.009
73 O 0.825 0.697 0.766
74 O 0.825 0.803 0.266
75 O 0.923 0.052 0.790
76 O 0.923 0.448 0.290
77 O 0.939 0.190 0.002
78 O 0.939 0.310 0.502
79 O 0.946 0.184 0.336
80 O 0.946 0.316 0.836

Output
M_tot, μB per formula unit: 5.000
Polymorph energy (0 for the lowest one), eV/atom: 0.000
Raw total energy, eV/atom: -7.96
Fermi-level density of states, states/eV/cell: 0.00


No. 15
Material: TaCuRh
Method: DFT, PBEsol
State: optimized geometry

abc: 3.254 3.254 8.136
angles: 90.00 90.00 90.00
Fractional positions:
1 Ta 0.000 0.000 0.000
2 Ta 0.500 0.500 0.500
3 Cu 0.000 0.000 0.329
4 Cu 0.500 0.500 0.829
5 Rh 0.000 0.000 0.660
6 Rh 0.500 0.500 0.160

Output
M_tot, μB per formula unit: 0.000
Polymorph energy (0 for the lowest one), eV/atom: 0.042
Raw total energy, eV/atom: -8.61
Fermi-level density of states, states/eV/cell: 5.23
Calculated formation energy, eV per atom: -0.2700


No. 16
Material: ZnWBr2
Method: DFT, PBEsol
State: optimized geometry

abc: 3.059 4.508 13.433
angles: 90.00 90.00 90.00
Fractional positions:
1 Zn 0.000 0.000 0.000
2 Zn 0.500 0.500 0.500
3 W 0.000 0.000 0.500
4 W 0.500 0.500 0.000
5 Br 0.000 0.500 0.154
6 Br 0.000 0.500 0.846
7 Br 0.500 0.000 0.346
8 Br 0.500 0.000 0.654

Output
M_tot, μB per formula unit: 0.006
Polymorph energy (0 for the lowest one), eV/atom: 0.000
Raw total energy, eV/atom: -4.52
Fermi-level density of states, states/eV/cell: 5.13


No. 17
Material: FeHg3F
Method: DFT, PBEsol
State: optimized geometry

abc: 4.729 4.729 4.729
angles: 90.00 90.00 90.00
Fractional positions:
1 Fe 0.000 0.000 0.000
2 Hg 0.000 0.500 0.500
3 Hg 0.500 0.000 0.500
4 Hg 0.500 0.500 0.000
5 F 0.500 0.500 0.500

Output
M_tot, μB per formula unit: 3.204
Raw total energy, eV/atom: -2.03
Fermi-level density of states, states/eV/cell: 7.88


No. 18
Material: LaIn2Br
Method: DFT, PBEsol
State: optimized geometry

abc: 7.455 7.455 7.455
angles: 90.00 90.00 90.00
Fractional positions:
1 La 0.000 0.000 0.000
2 La 0.000 0.500 0.500
3 La 0.500 0.000 0.500
4 La 0.500 0.500 0.000
5 In 0.000 0.000 0.500
6 In 0.000 0.500 0.000
7 In 0.250 0.250 0.250
8 In 0.250 0.750 0.750
9 In 0.500 0.000 0.000
10 In 0.500 0.500 0.500
11 In 0.750 0.250 0.750
12 In 0.750 0.750 0.250
13 Br 0.250 0.250 0.750
14 Br 0.250 0.750 0.250
15 Br 0.750 0.250 0.250
16 Br 0.750 0.750 0.750

Output
M_tot, μB per formula unit: 0.000
Polymorph energy (0 for the lowest one), eV/atom: 0.000
Raw total energy, eV/atom: -3.96
Fermi-level density of states, states/eV/cell: 1.96


No. 19
Material: TiPtSe2
Method: DFT, PBEsol
State: optimized geometry

abc: 6.392 6.392 6.392
angles: 90.00 90.00 90.00
Fractional positions:
1 Ti 0.000 0.000 0.000
2 Ti 0.000 0.500 0.500
3 Ti 0.500 0.000 0.500
4 Ti 0.500 0.500 0.000
5 Pt 0.000 0.000 0.500
6 Pt 0.000 0.500 0.000
7 Pt 0.500 0.000 0.000
8 Pt 0.500 0.500 0.500
9 Se 0.250 0.250 0.250
10 Se 0.250 0.250 0.750
11 Se 0.250 0.750 0.250
12 Se 0.250 0.750 0.750
13 Se 0.750 0.250 0.250
14 Se 0.750 0.250 0.750
15 Se 0.750 0.750 0.250
16 Se 0.750 0.750 0.750

Output
M_tot, μB per formula unit: 0.001
Polymorph energy (0 for the lowest one), eV/atom: 0.000
Raw total energy, eV/atom: -6.09
Fermi-level density of states, states/eV/cell: 9.16


No. 20
Material: KNaFe2Sb
Method: DFT, PBEsol
State: optimized geometry

abc: 4.721 4.721 4.727
angles: 90.00 90.00 90.00
Fractional positions:
1 K 0.000 0.000 0.000
2 Na 0.000 0.000 0.500
3 Fe 0.000 0.500 0.000
4 Fe 0.500 0.000 0.000
5 Sb 0.500 0.500 0.500

Output
M_tot, μB per formula unit: 5.378
Raw total energy, eV/atom: -3.27
Fermi-level density of states, states/eV/cell: 6.01